# 1
The following is a DFT calculation (PBE) of a geometry-optimized SrCrI2 structure.

Output
- Excess energy over the best structure of this formula in the dataset: 106.6 meV/atom
- Formation energy without anion corrections: -0.278 eV/atom

Structure (CIF):
```
data_SrCrI2
_cell_length_a 4.3733
_cell_length_b 4.3733
_cell_length_c 29.3231
_cell_angle_alpha 90.00
_cell_angle_beta 90.00
_cell_angle_gamma 120.00
_symmetry_space_group_name_H-M 'R -3 m'
_symmetry_Int_Tables_number 166
_symmetry_space_group_name_Hall '-R 3 2"'
loop_
_atom_site_label
_atom_site_type_symbol
_atom_site_fract_x
_atom_site_fract_y
_atom_site_fract_z
_atom_site_occupancy
Sr1 Sr 0.0000 0.0000 0.0000 1
Cr1 Cr 0.0000 0.0000 0.5000 1
I1 I 0.0000 0.0000 0.1126 1
```

***

# 2
The following is a DFT calculation (PBE) of a geometry-optimized Cd2SiOs structure.

Output
- Formation energy without anion corrections: 0.697 eV/atom

Structure (CIF):
```
data_Cd2SiOs
_cell_length_a 2.8445
_cell_length_b 2.8445
_cell_length_c 9.0720
_cell_angle_alpha 90.00
_cell_angle_beta 90.00
_cell_angle_gamma 90.00
_symmetry_space_group_name_H-M 'P 4/m m m'
_symmetry_Int_Tables_number 123
_symmetry_space_group_name_Hall '-P 4 2'
loop_
_atom_site_label
_atom_site_type_symbol
_atom_site_fract_x
_atom_site_fract_y
_atom_site_fract_z
_atom_site_occupancy
Cd1 Cd 0.0000 0.0000 0.2308 1
Si1 Si 0.5000 0.5000 0.5000 1
Os1 Os 0.5000 0.5000 0.0000 1
```

***

# 3
The following is a DFT calculation (PBE) of a geometry-optimized Ca3Sn12Pd structure.

Output
- Formation enthalpy at 0 K: -0.2791 eV per atom

Structure (CIF):
```
data_Ca3Sn12Pd
_cell_length_a 4.8174
_cell_length_b 4.8174
_cell_length_c 18.1306
_cell_angle_alpha 90.00
_cell_angle_beta 90.00
_cell_angle_gamma 90.00
_symmetry_space_group_name_H-M 'P 4/m m m'
_symmetry_Int_Tables_number 123
_symmetry_space_group_name_Hall '-P 4 2'
loop_
_atom_site_label
_atom_site_type_symbol
_atom_site_fract_x
_atom_site_fract_y
_atom_site_fract_z
_atom_site_occupancy
Ca1 Ca 0.0000 0.0000 0.0000 1
Ca2 Ca 0.0000 0.0000 0.2550 1
Sn1 Sn 0.0000 0.5000 0.1286 1
Sn2 Sn 0.0000 0.5000 0.3907 1
Sn3 Sn 0.5000 0.5000 0.0000 1
Sn4 Sn 0.5000 0.5000 0.2587 1
Sn5 Sn 0.5000 0.5000 0.5000 1
Pd1 Pd 0.0000 0.0000 0.5000 1
```

***

# 4
The following is a DFT calculation (PBE) of a geometry-optimized ZnCuPd structure.

Output
- Formation enthalpy at 0 K: -0.2620 eV per atom
- Excess energy over the best structure of this formula in the dataset: 17.6 meV/atom

Structure (CIF):
```
data_ZnCuPd
_cell_length_a 3.7315
_cell_length_b 4.6909
_cell_length_c 5.4871
_cell_angle_alpha 107.47
_cell_angle_beta 90.22
_cell_angle_gamma 113.30
_symmetry_space_group_name_H-M 'P -1'
_symmetry_Int_Tables_number 2
loop_
_symmetry_equiv_pos_as_xyz
'x,y,z'
'-x,-y,-z'
loop_
_atom_site_label
_atom_site_type_symbol
_atom_site_fract_x
_atom_site_fract_y
_atom_site_fract_z
_atom_site_occupancy
Zn1 Zn 0.9998 0.0013 0.2489 1
Cu1 Cu 0.3395 0.6793 0.9190 1
Pd1 Pd 0.3315 0.6642 0.3987 1
```

***

# 5
The following is a DFT calculation (PBE) of a geometry-optimized TbSmDy2Er2 structure.

Output
- Formation enthalpy at 0 K: 0.2931 eV per atom

Structure (CIF):
```
data_TbSmDy2Er2
_cell_length_a 6.5581
_cell_length_b 17.6491
_cell_length_c 3.3760
_cell_angle_alpha 90.00
_cell_angle_beta 90.00
_cell_angle_gamma 90.00
_symmetry_space_group_name_H-M 'P n n m'
_symmetry_Int_Tables_number 58
loop_
_symmetry_equiv_pos_as_xyz
'x,y,z'
'-x,-y,-z'
'-x,-y,z'
'x,y,-z'
'x+1/2,-y+1/2,-z+1/2'
'-x+1/2,y+1/2,z+1/2'
'-x+1/2,y+1/2,-z+1/2'
'x+1/2,-y+1/2,z+1/2'
loop_
_atom_site_label
_atom_site_type_symbol
_atom_site_fract_x
_atom_site_fract_y
_atom_site_fract_z
_atom_site_occupancy
Tb1 Tb 0.0000 0.0000 0.0000 1
Sm1 Sm 0.0000 0.5000 0.0000 1
Dy1 Dy 0.2315 0.1837 0.0000 1
Er1 Er 0.2305 0.3511 0.5000 1
```

***

# 6
The following is a DFT calculation (PBE) of a geometry-optimized PAuNO2 structure.

Output
- Formation energy without anion corrections: 0.127 eV/atom

Structure (CIF):
```
data_PAuNO2
_cell_length_a 3.2948
_cell_length_b 3.2948
_cell_length_c 4.6730
_cell_angle_alpha 90.00
_cell_angle_beta 90.00
_cell_angle_gamma 90.00
_symmetry_space_group_name_H-M 'P 4/m m m'
_symmetry_Int_Tables_number 123
_symmetry_space_group_name_Hall '-P 4 2'
loop_
_atom_site_label
_atom_site_type_symbol
_atom_site_fract_x
_atom_site_fract_y
_atom_site_fract_z
_atom_site_occupancy
P1 P 0.0000 0.0000 0.0000 1
Au1 Au 0.5000 0.5000 0.5000 1
N1 N 0.0000 0.0000 0.5000 1
O1 O 0.0000 0.5000 0.0000 1
```

***

# 7
The following is a DFT calculation (PBE) of a geometry-optimized Mn3GePb structure.

Output
- Formation enthalpy at 0 K: 0.5159 eV per atom
- Excess energy over the best structure of this formula in the dataset: 0.0 meV/atom

Structure (CIF):
```
data_Mn3GePb
_cell_length_a 4.7019
_cell_length_b 4.7019
_cell_length_c 4.7019
_cell_angle_alpha 90.00
_cell_angle_beta 90.00
_cell_angle_gamma 90.00
_symmetry_space_group_name_H-M 'P m -3 m'
_symmetry_Int_Tables_number 221
_symmetry_space_group_name_Hall '-P 4 2 3'
loop_
_atom_site_label
_atom_site_type_symbol
_atom_site_fract_x
_atom_site_fract_y
_atom_site_fract_z
_atom_site_occupancy
Mn1 Mn 0.0000 0.0000 0.5000 1
Ge1 Ge 0.0000 0.0000 0.0000 1
Pb1 Pb 0.5000 0.5000 0.5000 1
```

***

# 8
The following is a DFT calculation (PBE) of a geometry-optimized ScAs2SBr structure.

Output
- Excess energy over the best structure of this formula in the dataset: 0.0 meV/atom
- Formation energy without anion corrections: 0.251 eV/atom

Structure (CIF):
```
data_ScAs2SBr
_cell_length_a 4.7810
_cell_length_b 4.7810
_cell_length_c 5.1120
_cell_angle_alpha 90.00
_cell_angle_beta 90.00
_cell_angle_gamma 90.00
_symmetry_space_group_name_H-M 'P 4/m m m'
_symmetry_Int_Tables_number 123
_symmetry_space_group_name_Hall '-P 4 2'
loop_
_atom_site_label
_atom_site_type_symbol
_atom_site_fract_x
_atom_site_fract_y
_atom_site_fract_z
_atom_site_occupancy
Sc1 Sc 0.0000 0.0000 0.0000 1
As1 As 0.0000 0.5000 0.5000 1
S1 S 0.5000 0.5000 0.5000 1
Br1 Br 0.5000 0.5000 0.0000 1
```

***

# 9
The following is a DFT calculation (PBE) of a geometry-optimized AcHo14Er structure.

Output
- Formation enthalpy at 0 K: 0.0166 eV per atom

Structure (CIF):
```
data_AcHo14Er
_cell_length_a 11.2760
_cell_length_b 7.2465
_cell_length_c 12.5529
_cell_angle_alpha 90.00
_cell_angle_beta 90.00
_cell_angle_gamma 90.00
_symmetry_space_group_name_H-M 'A m m 2'
_symmetry_Int_Tables_number 38
loop_
_symmetry_equiv_pos_as_xyz
'x,y,z'
'-x,-y,z'
'-x,y,z'
'x,-y,z'
'x,y+1/2,z+1/2'
'-x,-y+1/2,z+1/2'
'-x,y+1/2,z+1/2'
'x,-y+1/2,z+1/2'
loop_
_atom_site_label
_atom_site_type_symbol
_atom_site_fract_x
_atom_site_fract_y
_atom_site_fract_z
_atom_site_occupancy
Ac1 Ac 0.0000 0.0000 0.0000 1
Ho1 Ho 0.0000 0.2482 0.7497 1
Ho2 Ho 0.2498 0.0000 0.3334 1
Ho3 Ho 0.2549 0.0000 0.8321 1
Ho4 Ho 0.2547 0.2478 0.5841 1
Ho5 Ho 0.5000 0.0000 0.0001 1
Ho6 Ho 0.5000 0.0000 0.4999 1
Ho7 Ho 0.5000 0.2499 0.2500 1
Er1 Er 0.0000 0.0000 0.5011 1
```

***

# 10
The following is a DFT calculation (PBE) of a geometry-optimized Ac5Tb4Pr4 structure.

Output
- Formation enthalpy at 0 K: 0.0471 eV per atom

Structure (CIF):
```
data_Ac5Tb4Pr4
_cell_length_a 13.6557
_cell_length_b 13.6557
_cell_length_c 5.3194
_cell_angle_alpha 90.00
_cell_angle_beta 90.00
_cell_angle_gamma 90.00
_symmetry_space_group_name_H-M 'I 4/m'
_symmetry_Int_Tables_number 87
_symmetry_space_group_name_Hall '-I 4'
loop_
_atom_site_label
_atom_site_type_symbol
_atom_site_fract_x
_atom_site_fract_y
_atom_site_fract_z
_atom_site_occupancy
Ac1 Ac 0.0000 0.0000 0.0000 1
Ac2 Ac 0.0404 0.1968 0.5000 1
Tb1 Tb 0.1564 0.7650 0.0000 1
Pr1 Pr 0.0756 0.3857 0.0000 1
```

***

# 11
The following is a DFT calculation (PBE) of a geometry-optimized ErPdAu4 structure.

Output
- Formation enthalpy at 0 K: -0.5179 eV per atom
- Excess energy over the best structure of this formula in the dataset: 0.8 meV/atom

Structure (CIF):
```
data_ErPdAu4
_cell_length_a 4.8333
_cell_length_b 8.3093
_cell_length_c 5.6359
_cell_angle_alpha 90.00
_cell_angle_beta 91.45
_cell_angle_gamma 90.00
_symmetry_space_group_name_H-M 'C 1 2/m 1'
_symmetry_Int_Tables_number 12
loop_
_symmetry_equiv_pos_as_xyz
'x,y,z'
'-x,-y,-z'
'-x,y,-z'
'x,-y,z'
'x+1/2,y+1/2,z'
'-x+1/2,-y+1/2,-z'
'-x+1/2,y+1/2,-z'
'x+1/2,-y+1/2,z'
loop_
_atom_site_label
_atom_site_type_symbol
_atom_site_fract_x
_atom_site_fract_y
_atom_site_fract_z
_atom_site_occupancy
Er1 Er 0.0000 0.0000 0.0000 1
Pd1 Pd 0.0000 0.0000 0.5000 1
Au1 Au 0.0062 0.3326 0.2558 1
```

***

# 12
The following is a DFT calculation (PBE) of a geometry-optimized NbNi3P2 structure.

Output
- Formation enthalpy at 0 K: -0.6527 eV per atom

Structure (CIF):
```
data_NbNi3P2
_cell_length_a 5.9162
_cell_length_b 3.5712
_cell_length_c 10.5019
_cell_angle_alpha 90.00
_cell_angle_beta 90.87
_cell_angle_gamma 90.00
_symmetry_space_group_name_H-M 'P 1 m 1'
_symmetry_Int_Tables_number 6
loop_
_symmetry_equiv_pos_as_xyz
'x,y,z'
'x,-y,z'
loop_
_atom_site_label
_atom_site_type_symbol
_atom_site_fract_x
_atom_site_fract_y
_atom_site_fract_z
_atom_site_occupancy
Nb1 Nb 0.0000 0.0000 0.0000 1
Nb2 Nb 0.0146 0.0000 0.5882 1
Nb3 Nb 0.5080 0.0000 0.4934 1
Ni1 Ni 0.1022 0.0000 0.2772 1
Ni2 Ni 0.3386 0.5000 0.9292 1
Ni3 Ni 0.3558 0.5000 0.6820 1
Ni4 Ni 0.4489 0.5000 0.2896 1
Ni5 Ni 0.4947 0.0000 0.0994 1
Ni6 Ni 0.6084 0.0000 0.8200 1
Ni7 Ni 0.8172 0.5000 0.1632 1
Ni8 Ni 0.8409 0.5000 0.4066 1
Ni9 Ni 0.9537 0.5000 0.7922 1
P1 P 0.2082 0.5000 0.1320 1
P2 P 0.2075 0.5000 0.4513 1
P3 P 0.2212 0.0000 0.7991 1
P4 P 0.7008 0.5000 0.9567 1
P5 P 0.7105 0.0000 0.2850 1
P6 P 0.7133 0.5000 0.6277 1
```

***

# 13
The following is a DFT calculation (PBE) of a geometry-optimized CdTePH structure.

Output
- Excess energy over the best structure of this formula in the dataset: 367.2 meV/atom

Structure (CIF):
```
data_CdTePH
_cell_length_a 4.2201
_cell_length_b 3.8528
_cell_length_c 6.8501
_cell_angle_alpha 90.00
_cell_angle_beta 106.82
_cell_angle_gamma 90.00
_symmetry_space_group_name_H-M 'P 1 m 1'
_symmetry_Int_Tables_number 6
loop_
_symmetry_equiv_pos_as_xyz
'x,y,z'
'x,-y,z'
loop_
_atom_site_label
_atom_site_type_symbol
_atom_site_fract_x
_atom_site_fract_y
_atom_site_fract_z
_atom_site_occupancy
Cd1 Cd 0.0000 0.0000 0.0000 1
Te1 Te 0.6490 0.5000 0.2898 1
P1 P 0.2935 0.0000 0.3799 1
H1 H 0.8407 0.0000 0.7432 1
```

***

# 14
The following is a DFT calculation (PBE) of a geometry-optimized SrTbZnCd structure.

Output
- Formation enthalpy at 0 K: -0.2219 eV per atom

Structure (CIF):
```
data_SrTbZnCd
_cell_length_a 7.6245
_cell_length_b 7.6245
_cell_length_c 7.6245
_cell_angle_alpha 90.00
_cell_angle_beta 90.00
_cell_angle_gamma 90.00
_symmetry_space_group_name_H-M 'F -4 3 m'
_symmetry_Int_Tables_number 216
_symmetry_space_group_name_Hall 'F -4 2 3'
loop_
_atom_site_label
_atom_site_type_symbol
_atom_site_fract_x
_atom_site_fract_y
_atom_site_fract_z
_atom_site_occupancy
Sr1 Sr 0.0000 0.0000 0.0000 1
Tb1 Tb 0.0000 0.0000 0.5000 1
Zn1 Zn 0.2500 0.2500 0.2500 1
Cd1 Cd 0.2500 0.2500 0.7500 1
```

***

# 15
The following is a DFT calculation (PBE) of a geometry-optimized LiTlZnF6 structure.

Output
- Formation energy without anion corrections: -2.198 eV/atom

Structure (CIF):
```
data_LiTlZnF6
_cell_length_a 5.5287
_cell_length_b 5.5287
_cell_length_c 8.9454
_cell_angle_alpha 90.00
_cell_angle_beta 90.00
_cell_angle_gamma 120.00
_symmetry_space_group_name_H-M 'P -3 1 c'
_symmetry_Int_Tables_number 163
_symmetry_space_group_name_Hall '-P 3 2c'
loop_
_atom_site_label
_atom_site_type_symbol
_atom_site_fract_x
_atom_site_fract_y
_atom_site_fract_z
_atom_site_occupancy
Li1 Li 0.0000 0.0000 0.0000 1
Tl1 Tl 0.3333 0.6667 0.2500 1
Zn1 Zn 0.3333 0.6667 0.7500 1
F1 F 0.0195 0.3450 0.6271 1
```

***

# 16
The following is a DFT calculation (PBE) of a geometry-optimized LiBrO2 structure.

Output
- Excess energy over the best structure of this formula in the dataset: 0.0 meV/atom
- Formation energy without anion corrections: -0.462 eV/atom

Structure (CIF):
```
data_LiBrO2
_cell_length_a 3.0619
_cell_length_b 3.0619
_cell_length_c 17.8860
_cell_angle_alpha 90.00
_cell_angle_beta 90.00
_cell_angle_gamma 120.00
_symmetry_space_group_name_H-M 'R -3 m'
_symmetry_Int_Tables_number 166
_symmetry_space_group_name_Hall '-R 3 2"'
loop_
_atom_site_label
_atom_site_type_symbol
_atom_site_fract_x
_atom_site_fract_y
_atom_site_fract_z
_atom_site_occupancy
Li1 Li 0.0000 0.0000 0.0000 1
Br1 Br 0.0000 0.0000 0.5000 1
O1 O 0.0000 0.0000 0.3981 1
```

***

# 17
The following is a DFT calculation (PBE) of a geometry-optimized AcNbSn2 structure.

Output
- Formation enthalpy at 0 K: -0.2071 eV per atom
- Excess energy over the best structure of this formula in the dataset: 0.0 meV/atom

Structure (CIF):
```
data_AcNbSn2
_cell_length_a 3.6934
_cell_length_b 3.6934
_cell_length_c 7.5975
_cell_angle_alpha 90.00
_cell_angle_beta 90.00
_cell_angle_gamma 90.00
_symmetry_space_group_name_H-M 'P 4/m m m'
_symmetry_Int_Tables_number 123
_symmetry_space_group_name_Hall '-P 4 2'
loop_
_atom_site_label
_atom_site_type_symbol
_atom_site_fract_x
_atom_site_fract_y
_atom_site_fract_z
_atom_site_occupancy
Ac1 Ac 0.0000 0.0000 0.0000 1
Nb1 Nb 0.0000 0.0000 0.5000 1
Sn1 Sn 0.5000 0.5000 0.3037 1
```

***

# 18
The following is a DFT calculation (PBE) of a geometry-optimized AgF4 structure.

Output
- Excess energy over the best structure of this formula in the dataset: 93.3 meV/atom
- Formation energy without anion corrections: -0.578 eV/atom

Structure (CIF):
```
data_AgF4
_cell_length_a 4.1367
_cell_length_b 4.1367
_cell_length_c 4.1367
_cell_angle_alpha 90.00
_cell_angle_beta 90.00
_cell_angle_gamma 90.00
_symmetry_space_group_name_H-M 'P m -3 m'
_symmetry_Int_Tables_number 221
_symmetry_space_group_name_Hall '-P 4 2 3'
loop_
_atom_site_label
_atom_site_type_symbol
_atom_site_fract_x
_atom_site_fract_y
_atom_site_fract_z
_atom_site_occupancy
Ag1 Ag 0.0000 0.0000 0.0000 1
F1 F 0.0000 0.0000 0.5000 1
F2 F 0.5000 0.5000 0.5000 1
```

***

# 19
The following is a DFT calculation (PBE) of a geometry-optimized CeZn8Cu4 structure.

Output
- Formation enthalpy at 0 K: -0.1723 eV per atom

Structure (CIF):
```
data_CeZn8Cu4
_cell_length_a 8.9169
_cell_length_b 8.9169
_cell_length_c 4.9451
_cell_angle_alpha 90.00
_cell_angle_beta 90.00
_cell_angle_gamma 90.00
_symmetry_space_group_name_H-M 'I 4/m m m'
_symmetry_Int_Tables_number 139
_symmetry_space_group_name_Hall '-I 4 2'
loop_
_atom_site_label
_atom_site_type_symbol
_atom_site_fract_x
_atom_site_fract_y
_atom_site_fract_z
_atom_site_occupancy
Ce1 Ce 0.0000 0.0000 0.0000 1
Zn1 Zn 0.0000 0.2221 0.5000 1
Zn2 Zn 0.0000 0.3490 0.0000 1
Cu1 Cu 0.2500 0.2500 0.2500 1
```

***

# 20
The following is a DFT calculation (PBE) of a geometry-optimized Na2SrTiS4 structure.

Output
- Formation energy without anion corrections: -1.424 eV/atom

Structure (CIF):
```
data_Na2SrTiS4
_cell_length_a 7.2603
_cell_length_b 7.2603
_cell_length_c 7.5982
_cell_angle_alpha 90.00
_cell_angle_beta 90.00
_cell_angle_gamma 90.00
_symmetry_space_group_name_H-M 'I -4 2 m'
_symmetry_Int_Tables_number 121
_symmetry_space_group_name_Hall 'I -4 2'
loop_
_atom_site_label
_atom_site_type_symbol
_atom_site_fract_x
_atom_site_fract_y
_atom_site_fract_z
_atom_site_occupancy
Na1 Na 0.0000 0.5000 0.2500 1
Sr1 Sr 0.0000 0.0000 0.0000 1
Ti1 Ti 0.0000 0.0000 0.5000 1
S1 S 0.1815 0.1815 0.6726 1
```

***

Density values (in g/cm³) by entry order: 4.0, 10.0, 6.5, 9.4, 8.2, 9.0, 7.1, 4.4, 8.8, 7.8, 15.6, 7.4, 4.2, 6.4, 5.5, 4.1, 8.9, 4.3, 7.8, 2.6.